16
Lattice="6.169 0.000 0.000 -3.084 7.214 0.041 0.000 0.232 15.224" Properties=species:S:1:pos:R:3 comment="Ba3Sr2Pt3, relaxed, DFT PBE" e_tot_ev_per_atom=-4.0218 total_magnetization_mub_per_fu=0.0 formation_energy_ev_per_fu=-4.9 dos_at_fermi_per_ev_cell=11.14 spacegroup="Cm, No. 8" pbc="T T T"
Pt 3.084 5.010 6.772
Pt 0.000 3.199 3.827
Pt 0.000 2.180 8.540
Pt 0.000 2.529 14.355
Ba 3.084 2.471 8.774
Sr 3.084 2.805 14.247
Ba 3.084 6.760 13.404
Sr 0.000 4.705 6.628
Pt 3.084 5.043 0.898
Sr 3.084 6.463 9.381
Sr 0.000 4.758 1.048
Pt 3.084 4.305 11.477
Ba 3.084 3.726 3.819
Ba 0.000 3.761 11.411
Ba 0.000 0.760 5.806
Ba 0.000 0.807 1.794